No. 1
VASP calculation (PBE-GGA) on BePd3Pb after structural relaxation.

The calculation puts the formation energy at 26.87 kcal/mol of atoms. The calculation puts the energy above the most stable polymorph in this dataset at 1355 meV/atom. The calculation puts the volume at 25.38 Å³ per atom.

Cell lengths 5.025, 5.025, 5.025 Å; angles 90.00, 90.00, 90.00 degrees
Fractional coordinates of all 5 atoms:
Pb: 0.000 0.000 0.000
Be: 0.500 0.500 0.500
Pd: 0.000 0.500 0.000
Pd: 0.000 0.000 0.500
Pd: 0.500 0.000 0.000

***

No. 2
VASP calculation (PBE-GGA) on Cd2SbPb after structural relaxation.

The calculation puts the energy above the most stable polymorph in this dataset at 18 meV/atom. The uncorrected formation energy is 0.080 eV per atom. The calculation puts the volume at 27.04 Å³ per atom.

Cell lengths 4.525, 5.294, 4.516 Å; angles 90.00, 90.00, 90.00 degrees
Fractional coordinates of all 4 atoms:
Pb: 0.500 0.000 0.500
Sb: 0.000 0.500 0.500
Cd: 0.000 0.000 0.000
Cd: 0.500 0.500 0.000

***

No. 3
VASP calculation (PBE-GGA) on K2IrPbF8 after structural relaxation.

The uncorrected formation energy is -2.170 eV per atom. The calculation puts the volume at 17.28 Å³ per atom.

Cell lengths 4.330, 6.094, 7.911 Å; angles 90.00, 90.00, 96.73 degrees
Each line ends with the local moment (μB).
Fractional coordinates of all 12 atoms:
K: 0.500 0.500 0.757  0.00
K: 0.500 0.500 0.243  0.00
Ir: 0.000 0.000 0.000  0.73
Pb: 0.000 0.000 0.500  0.00
F: 0.083 0.804 0.193  0.02
F: 0.610 0.807 0.000  0.07
F: 0.917 0.196 0.193  0.02
F: 0.917 0.196 0.807  0.02
F: 0.390 0.193 0.000  0.07
F: 0.083 0.804 0.807  0.02
F: 0.491 0.767 0.500  0.00
F: 0.509 0.233 0.500  0.00

***

No. 4
VASP calculation (PBE-GGA) on Er4AlIn after structural relaxation.

The calculation puts the formation energy at -6.44 kcal/mol of atoms. The calculation puts the energy above the most stable polymorph in this dataset at 0 meV/atom. The calculation puts the volume at 26.87 Å³ per atom.

Cell lengths 3.463, 7.148, 8.670 Å; angles 122.29, 78.48, 75.98 degrees
Fractional coordinates of all 6 atoms:
Er: 0.833 0.513 0.821
Er: 0.320 0.027 0.332
Er: 0.167 0.487 0.179
Er: 0.680 0.973 0.668
Al: 0.500 0.500 0.500
In: 0.000 0.000 0.000

***

What did the fourth record say?
VASP calculation (PBE-GGA) on Er4AlIn after structural relaxation.

The calculation puts the formation energy at -6.44 kcal/mol of atoms. The calculation puts the energy above the most stable polymorph in this dataset at 0 meV/atom. The calculation puts the volume at 26.87 Å³ per atom.

Cell lengths 3.463, 7.148, 8.670 Å; angles 122.29, 78.48, 75.98 degrees
Fractional coordinates of all 6 atoms:
Er: 0.833 0.513 0.821
Er: 0.320 0.027 0.332
Er: 0.167 0.487 0.179
Er: 0.680 0.973 0.668
Al: 0.500 0.500 0.500
In: 0.000 0.000 0.000

***

- Number 4 is which compound?
  Er4AlIn